Entry from Alexandria via LeMat-Bulk: a relaxed structure of Fe4Rh5 (PBE).

a b c (Å): 7.4047 7.4047 5.1963
angles (deg): 90.00 90.00 120.00
With the nearest neighbours (Å) after each atom.
Fractional positions:
Fe 0.0000 0.0000 0.0000  8 Fe 2.60-2.88, 6 Rh 2.69
Fe 0.0000 0.0000 0.5000  8 Fe 2.60-2.88, 6 Rh 2.69
Fe 0.0000 0.3465 0.2500  9 Rh 2.47-2.75
Fe 0.0000 0.6535 0.7500  9 Rh 2.47-2.75
Fe 0.3465 0.0000 0.2500  9 Rh 2.47-2.75
Fe 0.3465 0.3465 0.7500  9 Rh 2.47-2.75
Fe 0.6535 0.0000 0.7500  9 Rh 2.47-2.75
Fe 0.6535 0.6535 0.2500  9 Rh 2.47-2.75
Rh 0.0000 0.3176 0.7500  7 Fe 2.47-2.69
Rh 0.0000 0.6824 0.2500  7 Fe 2.47-2.69
Rh 0.3176 0.0000 0.7500  7 Fe 2.47-2.69
Rh 0.3176 0.3176 0.2500  7 Fe 2.47-2.69
Rh 0.3333 0.6667 0.0000  8 Rh 2.60-2.84, 6 Fe 2.75
Rh 0.3333 0.6667 0.5000  8 Rh 2.60-2.84, 6 Fe 2.75
Rh 0.6667 0.3333 0.0000  8 Rh 2.60-2.84, 6 Fe 2.75
Rh 0.6667 0.3333 0.5000  8 Rh 2.60-2.84, 6 Fe 2.75
Rh 0.6824 0.0000 0.2500  7 Fe 2.47-2.69
Rh 0.6824 0.6824 0.7500  7 Fe 2.47-2.69

Output
Its energy above the most stable polymorph in this dataset is 44 meV/atom. For the formation energy, the calculation gives 0.502 eV per formula unit. The spin magnetization comes out at 29.45 μB/cell. The final energy comes out at -140.211 eV/cell.

=====

Entry from Alexandria via LeMat-Bulk: a relaxed structure of FeRh (PBE).

a b c (Å): 2.6642 5.1011 6.3117
angles (deg): 77.90 78.88 75.77
With the nearest neighbours (Å) after each atom.
Fractional positions:
Fe 0.0000 0.0000 0.0000  3 Fe 2.38-2.59, 3 Rh 2.51-2.52
Fe 0.0935 0.4845 0.9911  5 Fe 2.50-2.66, 3 Rh 2.67-2.72
Fe 0.4721 0.1746 0.3098  2 Fe 2.38-2.50, 4 Rh 2.54-2.61
Rh 0.3799 0.6831 0.3208  5 Fe 2.52-2.80, 5 Rh 2.66-2.81
Rh 0.6256 0.8437 0.6775  4 Fe 2.51-2.76, 6 Rh 2.59-2.79
Rh 0.8751 0.3281 0.6460  4 Fe 2.52-2.81, 7 Rh 2.59-2.81

Output
For the formation energy, the calculation gives 0.094 eV per formula unit. The spin magnetization comes out at 9.71 μB/cell. The final energy comes out at -47.160 eV/cell.

=====

Entry from Alexandria via LeMat-Bulk: a relaxed structure of Fe5Rh3 (PBE).

a b c (Å): 7.2972 7.2972 4.7744
angles (deg): 90.00 90.00 120.00
With the nearest neighbours (Å) after each atom.
Fractional positions:
Fe 0.0000 0.2240 0.2500  5 Rh 2.55-2.73, 2 Fe 2.83
Fe 0.0000 0.7760 0.7500  5 Rh 2.55-2.73, 2 Fe 2.83
Fe 0.2240 0.0000 0.2500  5 Rh 2.55-2.73, 2 Fe 2.83
Fe 0.2240 0.2240 0.7500  5 Rh 2.55-2.73, 2 Fe 2.83
Fe 0.3333 0.6667 0.0000  2 Fe 2.39, 6 Rh 2.52
Fe 0.3333 0.6667 0.5000  2 Fe 2.39, 6 Rh 2.52
Fe 0.6667 0.3333 0.0000  2 Fe 2.39, 6 Rh 2.52
Fe 0.6667 0.3333 0.5000  2 Fe 2.39, 6 Rh 2.52
Fe 0.7760 0.0000 0.7500  5 Rh 2.55-2.73, 2 Fe 2.83
Fe 0.7760 0.7760 0.2500  5 Rh 2.55-2.73, 2 Fe 2.83
Rh 0.0000 0.4023 0.7500  9 Fe 2.52-2.73, 2 Rh 2.78
Rh 0.0000 0.5977 0.2500  9 Fe 2.52-2.73, 2 Rh 2.78
Rh 0.4023 0.0000 0.7500  9 Fe 2.52-2.73, 2 Rh 2.78
Rh 0.4023 0.4023 0.2500  9 Fe 2.52-2.73, 2 Rh 2.78
Rh 0.5977 0.0000 0.2500  9 Fe 2.52-2.73, 2 Rh 2.78
Rh 0.5977 0.5977 0.7500  9 Fe 2.52-2.73, 2 Rh 2.78

Output
Its energy above the most stable polymorph in this dataset is 197 meV/atom. For the formation energy, the calculation gives 1.216 eV per formula unit. The spin magnetization comes out at 33.09 μB/cell. The final energy comes out at -126.304 eV/cell.

=====

Entry from Alexandria via LeMat-Bulk: a relaxed structure of FeRh (PBE).

a b c (Å): 2.6701 4.1430 7.1826
angles (deg): 90.00 90.15 90.00
With the nearest neighbours (Å) after each atom.
Fractional positions:
Fe 0.0000 0.0000 0.0000  6 Fe 2.51-2.67, 6 Rh 2.58-2.72
Fe 0.0238 0.5000 0.1981  7 Rh 2.49-2.65, 4 Fe 2.51-2.67
Fe 0.4900 0.0000 0.6857  7 Rh 2.52-2.68, 4 Fe 2.61-2.67
Rh 0.0027 0.5000 0.5445  5 Fe 2.49-2.68, 2 Rh 2.67
Rh 0.5089 0.5000 0.8861  8 Fe 2.52-2.63, 4 Rh 2.67-2.80
Rh 0.5128 0.0000 0.3272  7 Fe 2.58-2.72, 2 Rh 2.67

Output
For the formation energy, the calculation gives 0.119 eV per formula unit. The spin magnetization comes out at 8.83 μB/cell. The final energy comes out at -47.085 eV/cell.

=====

Entry from Alexandria via LeMat-Bulk: a relaxed structure of FeRh (PBE).

a b c (Å): 4.5898 5.3387 8.6972
angles (deg): 90.00 90.00 90.00
With the nearest neighbours (Å) after each atom.
Fractional positions:
Fe 0.0023 0.1275 0.2516  7 Rh 2.60-2.69, 5 Fe 2.67-2.68
Fe 0.1583 0.3734 0.9978  7 Rh 2.62-2.71, 5 Fe 2.65-2.68
Fe 0.3417 0.6266 0.4978  7 Rh 2.62-2.71, 5 Fe 2.65-2.68
Fe 0.4977 0.8725 0.7516  7 Rh 2.60-2.69, 5 Fe 2.67-2.68
Fe 0.5023 0.3725 0.7484  7 Rh 2.60-2.69, 5 Fe 2.67-2.68
Fe 0.6583 0.1266 0.0022  7 Rh 2.62-2.71, 5 Fe 2.65-2.68
Fe 0.8417 0.8734 0.5022  7 Rh 2.62-2.71, 5 Fe 2.65-2.68
Fe 0.9977 0.6275 0.2484  7 Rh 2.60-2.69, 5 Fe 2.67-2.68
Rh 0.0093 0.6264 0.7487  7 Fe 2.60-2.69, 5 Rh 2.66-2.69
Rh 0.1630 0.8809 0.0017  7 Fe 2.62-2.71, 5 Rh 2.66-2.69
Rh 0.3370 0.1191 0.5017  7 Fe 2.62-2.71, 5 Rh 2.66-2.69
Rh 0.4907 0.3736 0.2487  7 Fe 2.60-2.69, 5 Rh 2.66-2.69
Rh 0.5093 0.8736 0.2513  7 Fe 2.60-2.69, 5 Rh 2.66-2.69
Rh 0.6630 0.6191 0.9983  7 Fe 2.62-2.71, 5 Rh 2.66-2.69
Rh 0.8370 0.3809 0.4983  7 Fe 2.62-2.71, 5 Rh 2.66-2.69
Rh 0.9907 0.1264 0.7513  7 Fe 2.60-2.69, 5 Rh 2.66-2.69

Output
For the formation energy, the calculation gives 0.030 eV per formula unit. The spin magnetization comes out at 25.33 μB/cell. The final energy comes out at -126.271 eV/cell.

=====

Entry from Alexandria via LeMat-Bulk: a relaxed structure of Fe5Rh (PBE).

a b c (Å): 4.1120 4.1120 5.0769
angles (deg): 90.00 90.00 120.00
With the nearest neighbours (Å) after each atom.
Fractional positions:
Fe 0.0000 0.0000 0.0000  6 Fe 2.51, 2 Rh 2.54
Fe 0.3333 0.6667 0.3238  5 Fe 2.47-2.61, 3 Rh 2.54
Fe 0.3333 0.6667 0.8377  8 Fe 2.47-2.61
Fe 0.6667 0.3333 0.1623  8 Fe 2.47-2.61
Fe 0.6667 0.3333 0.6762  5 Fe 2.47-2.61, 3 Rh 2.54
Rh 0.0000 0.0000 0.5000  8 Fe 2.54

Output
Its energy above the most stable polymorph in this dataset is 12 meV/atom. For the formation energy, the calculation gives -0.070 eV per formula unit. The spin magnetization comes out at 14.07 μB/cell. The final energy comes out at -49.735 eV/cell.

=====

Entry from Alexandria via LeMat-Bulk: a relaxed structure of FeRh2 (PBE).

a b c (Å): 7.2123 7.2123 2.7096
angles (deg): 90.00 90.00 120.00
With the nearest neighbours (Å) after each atom.
Fractional positions:
Fe 0.0000 0.0000 0.0000  9 Rh 2.54-2.63, 2 Fe 2.71
Fe 0.3333 0.6667 0.5000  9 Rh 2.54-2.67, 2 Fe 2.71
Fe 0.6667 0.3333 0.5000  9 Rh 2.54-2.67, 2 Fe 2.71
Rh 0.0000 0.2976 0.5000  4 Fe 2.54, 8 Rh 2.71-2.79
Rh 0.0000 0.6354 0.0000  5 Fe 2.63-2.67, 8 Rh 2.71-2.79
Rh 0.2976 0.0000 0.5000  4 Fe 2.54, 8 Rh 2.71-2.79
Rh 0.3646 0.3646 0.0000  5 Fe 2.63-2.67, 8 Rh 2.71-2.79
Rh 0.6354 0.0000 0.0000  5 Fe 2.63-2.67, 8 Rh 2.71-2.79
Rh 0.7024 0.7024 0.5000  4 Fe 2.54, 8 Rh 2.71-2.79

Output
For the formation energy, the calculation gives -0.004 eV per formula unit. The spin magnetization comes out at 9.44 μB/cell. The final energy comes out at -69.508 eV/cell.

=====

Entry from Alexandria via LeMat-Bulk: a relaxed structure of Fe5Rh (PBE).

a b c (Å): 2.5661 4.8044 6.2913
angles (deg): 77.98 82.15 79.66
With the nearest neighbours (Å) after each atom.
Fractional positions:
Fe 0.0000 0.0000 0.0000  6 Fe 2.51-2.57, 2 Rh 2.51
Fe 0.1602 0.1614 0.3371  7 Fe 2.44-2.57, 1 Rh 2.54
Fe 0.3299 0.3300 0.6608  7 Fe 2.46-2.57, 1 Rh 2.55
Fe 0.6701 0.6700 0.3392  7 Fe 2.46-2.57, 1 Rh 2.55
Fe 0.8398 0.8386 0.6629  7 Fe 2.44-2.57, 1 Rh 2.54
Rh 0.5000 0.5000 0.0000  6 Fe 2.51-2.55, 2 Rh 2.57

Output
Its energy above the most stable polymorph in this dataset is 38 meV/atom. For the formation energy, the calculation gives 0.084 eV per formula unit. The spin magnetization comes out at 13.81 μB/cell. The final energy comes out at -49.581 eV/cell.

=====

Entry from Alexandria via LeMat-Bulk: a relaxed structure of Fe4Rh (PBE).

a b c (Å): 4.5557 4.5557 4.5557
angles (deg): 90.00 90.00 90.00
With the nearest neighbours (Å) after each atom.
Fractional positions:
Fe 0.0000 0.0000 0.0000  12 Fe 3.22
Fe 0.0000 0.5000 0.5000  2 Rh 2.28
Fe 0.5000 0.0000 0.5000  2 Rh 2.28
Fe 0.5000 0.5000 0.0000  2 Rh 2.28
Rh 0.5000 0.5000 0.5000  6 Fe 2.28

Output
Its energy above the most stable polymorph in this dataset is 1474 meV/atom. For the formation energy, the calculation gives 7.217 eV per formula unit. The spin magnetization comes out at 13.38 μB/cell. The final energy comes out at -33.985 eV/cell.

=====

Entry from Alexandria via LeMat-Bulk: a relaxed structure of FeRh2 (PBE).

a b c (Å): 4.6242 4.6242 4.6669
angles (deg): 100.12 100.12 119.46
With the nearest neighbours (Å) after each atom.
Fractional positions:
Fe 0.0855 0.9145 0.7500  10 Rh 2.62-2.71, 2 Fe 2.70
Fe 0.9145 0.0855 0.2500  10 Rh 2.62-2.71, 2 Fe 2.70
Rh 0.2426 0.7574 0.2500  5 Fe 2.62-2.71, 7 Rh 2.66-2.72
Rh 0.4187 0.5813 0.7500  5 Fe 2.66-2.68, 7 Rh 2.66-2.72
Rh 0.5813 0.4187 0.2500  5 Fe 2.66-2.68, 7 Rh 2.66-2.72
Rh 0.7574 0.2426 0.7500  5 Fe 2.62-2.71, 7 Rh 2.66-2.72

Output
For the formation energy, the calculation gives -0.016 eV per formula unit. The spin magnetization comes out at 5.82 μB/cell. The final energy comes out at -46.364 eV/cell.